(1)
# WOF3

A geometry-optimized WOF3 structure (GGA-PBEsol, Alexandria via LeMat-Bulk).

* ΔE_f (raw): -2.4062 eV per atom

a = 5.557 Å, b = 5.025 Å, c = 9.208 Å
α = 90.00°, β = 90.00°, γ = 90.00°
Sites, in units of the cell vectors:
F (0.861, 0.026, 0.758)
O (0.368, 0.762, 0.996)
W (0.633, 0.897, 0.892)
F (0.600, 0.585, 0.752)
W (0.367, 0.397, 0.608)
F (0.634, 0.221, 0.991)
F (0.134, 0.279, 0.009)
O (0.632, 0.262, 0.504)
F (0.139, 0.526, 0.742)
F (0.366, 0.721, 0.509)
F (0.866, 0.779, 0.491)
F (0.100, 0.915, 0.248)
F (0.639, 0.974, 0.258)
F (0.900, 0.415, 0.252)
W (0.867, 0.103, 0.392)
F (0.400, 0.085, 0.748)
W (0.133, 0.603, 0.108)
O (0.868, 0.738, 0.004)
F (0.361, 0.474, 0.242)
O (0.132, 0.238, 0.496)

---

(2)
# WO2F2

A geometry-optimized WO2F2 structure (GGA-PBEsol, Alexandria via LeMat-Bulk).

* E above lowest polymorph: 3 meV per atom
* ΔE_f (raw): -2.3988 eV per atom

a = 3.865 Å, b = 6.577 Å, c = 7.661 Å
α = 90.00°, β = 90.00°, γ = 90.00°
Sites, in units of the cell vectors:
W (0.049, 0.000, 0.985)
F (0.014, 0.279, 0.454)
O (0.507, 0.000, 0.968)
F (0.014, 0.721, 0.454)
O (0.493, 0.000, 0.468)
O (0.996, 0.000, 0.717)
F (0.986, 0.279, 0.954)
F (0.986, 0.721, 0.954)
W (0.951, 0.000, 0.485)
O (0.004, 0.000, 0.217)

---

(3)
# ZrWO2F

A geometry-optimized ZrWO2F structure (GGA-PBEsol, Alexandria via LeMat-Bulk).

* ΔE_f (raw): -1.1078 eV per atom

a = 4.266 Å, b = 3.896 Å, c = 3.896 Å
α = 90.00°, β = 90.00°, γ = 90.00°
Sites, in units of the cell vectors:
F (0.500, 0.000, 0.000)
Zr (0.500, 0.500, 0.500)
O (0.000, 0.000, 0.500)
O (0.000, 0.500, 0.000)
W (0.000, 0.000, 0.000)

---

(4)
# Y6O5F8

A geometry-optimized Y6O5F8 structure (GGA-PBEsol, Alexandria via LeMat-Bulk).

* E above lowest polymorph: 0 meV per atom
* ΔE_f (raw): -3.9512 eV per atom

a = 5.411 Å, b = 5.453 Å, c = 8.614 Å
α = 73.97°, β = 88.34°, γ = 89.25°
Sites, in units of the cell vectors:
F (0.447, 0.830, 0.118)
F (0.460, 0.129, 0.813)
F (0.506, 0.295, 0.515)
Y (0.783, 0.089, 0.345)
O (0.976, 0.425, 0.162)
O (0.990, 0.076, 0.835)
Y (0.218, 0.211, 0.021)
Y (0.189, 0.585, 0.332)
F (0.615, 0.396, 0.961)
O (0.972, 0.914, 0.175)
O (0.001, 0.257, 0.501)
F (0.083, 0.577, 0.834)
Y (0.781, 0.406, 0.681)
F (0.463, 0.816, 0.438)
O (0.983, 0.747, 0.514)
Y (0.228, 0.951, 0.646)
F (0.426, 0.280, 0.236)
F (0.599, 0.757, 0.728)
Y (0.788, 0.749, 0.994)

---

(5)
# YOF

A geometry-optimized YOF structure (GGA-PBEsol, Alexandria via LeMat-Bulk).

* ΔE_f (raw): -3.9303 eV per atom

a = 3.808 Å, b = 3.808 Å, c = 5.417 Å
α = 90.00°, β = 90.00°, γ = 90.00°
Sites, in units of the cell vectors:
F (0.000, 0.000, 0.000)
O (0.000, 0.000, 0.500)
O (0.500, 0.500, 0.500)
Y (0.000, 0.500, 0.711)
F (0.500, 0.500, 0.000)
Y (0.500, 0.000, 0.289)

---

(6)
# YOF

A geometry-optimized YOF structure (GGA-PBEsol, Alexandria via LeMat-Bulk).

* ΔE_f (raw): -3.8903 eV per atom

a = 3.781 Å, b = 3.781 Å, c = 3.781 Å
α = 60.00°, β = 60.00°, γ = 60.00°
Sites, in units of the cell vectors:
F (0.250, 0.250, 0.250)
O (0.750, 0.750, 0.750)
Y (0.000, 0.000, 0.000)

---

(7)
# Y6O5F8

A geometry-optimized Y6O5F8 structure (GGA-PBEsol, Alexandria via LeMat-Bulk).

* E above lowest polymorph: 23 meV per atom
* ΔE_f (raw): -3.9280 eV per atom

a = 5.424 Å, b = 5.430 Å, c = 9.007 Å
α = 90.00°, β = 72.48°, γ = 90.01°
Sites, in units of the cell vectors:
O (0.085, 0.500, 0.829)
Y (0.596, 0.713, 0.346)
Y (0.771, 0.287, 0.995)
F (0.346, 0.000, 0.308)
O (0.254, 0.500, 0.492)
Y (0.915, 0.703, 0.670)
F (0.624, 0.000, 0.751)
F (0.768, 0.000, 0.465)
F (0.415, 0.500, 0.170)
Y (0.415, 0.297, 0.670)
Y (0.234, 0.713, 0.995)
O (0.915, 0.500, 0.170)
F (0.915, 0.000, 0.171)
F (0.062, 0.000, 0.876)
O (0.575, 0.500, 0.849)
Y (0.059, 0.287, 0.346)
F (0.483, 0.000, 0.033)
O (0.744, 0.500, 0.511)
F (0.205, 0.000, 0.590)

---

(8)
# YOF

A geometry-optimized YOF structure (GGA-PBEsol, Alexandria via LeMat-Bulk).

* ΔE_f (raw): -3.9429 eV per atom

a = 3.772 Å, b = 3.772 Å, c = 6.633 Å
α = 73.48°, β = 73.48°, γ = 60.00°
Sites, in units of the cell vectors:
Y (0.759, 0.759, 0.724)
O (0.122, 0.122, 0.635)
Y (0.241, 0.241, 0.276)
F (0.630, 0.630, 0.110)
O (0.878, 0.878, 0.365)
F (0.370, 0.370, 0.890)

---

(9)
# Y5O4F7

A geometry-optimized Y5O4F7 structure (GGA-PBEsol, Alexandria via LeMat-Bulk).

* ΔE_f (raw): -3.9961 eV per atom

a = 5.386 Å, b = 5.502 Å, c = 14.014 Å
α = 101.32°, β = 90.25°, γ = 90.00°
Sites, in units of the cell vectors:
O (0.539, 0.290, 0.595)
O (0.500, 0.510, 0.000)
Y (0.705, 0.700, 0.900)
Y (0.295, 0.800, 0.100)
F (0.885, 0.897, 0.500)
F (0.094, 0.162, 0.654)
O (0.520, 0.369, 0.800)
Y (0.289, 0.546, 0.703)
F (0.966, 0.663, 0.179)
Y (0.290, 0.197, 0.901)
F (0.000, 0.901, 0.000)
F (0.547, 0.192, 0.400)
Y (0.710, 0.295, 0.099)
F (0.907, 0.680, 0.653)
F (0.115, 0.397, 0.500)
Y (0.724, 0.522, 0.501)
F (0.453, 0.792, 0.600)
Y (0.711, 0.843, 0.297)
O (0.530, 0.072, 0.206)
F (0.051, 0.169, 0.172)
F (0.093, 0.027, 0.347)
F (0.000, 0.405, 0.000)
O (0.500, 0.009, 0.000)
F (0.949, 0.997, 0.828)
F (0.906, 0.508, 0.346)
O (0.470, 0.866, 0.794)
F (0.034, 0.484, 0.821)
Y (0.712, 0.074, 0.705)
O (0.461, 0.694, 0.405)
O (0.480, 0.570, 0.200)
Y (0.288, 0.369, 0.295)
Y (0.276, 0.021, 0.499)

---

(10)
# ZnOF2

A geometry-optimized ZnOF2 structure (GGA-PBEsol, Alexandria via LeMat-Bulk).

* ΔE_f (raw): -0.5981 eV per atom

a = 3.760 Å, b = 3.760 Å, c = 3.760 Å
α = 60.00°, β = 60.00°, γ = 60.00°
Sites, in units of the cell vectors:
O (0.000, 0.000, 0.000)
F (0.250, 0.250, 0.250)
F (0.750, 0.750, 0.750)
Zn (0.500, 0.500, 0.500)

---

(11)
# Zr2OF

A geometry-optimized Zr2OF structure (GGA-PBEsol, Alexandria via LeMat-Bulk).

* ΔE_f (raw): -1.4036 eV per atom

a = 4.126 Å, b = 4.126 Å, c = 4.126 Å
α = 60.00°, β = 60.00°, γ = 60.00°
Sites, in units of the cell vectors:
O (0.000, 0.000, 0.000)
Zr (0.250, 0.250, 0.250)
F (0.500, 0.500, 0.500)
Zr (0.750, 0.750, 0.750)

---

(12)
# ZrO2F2

A geometry-optimized ZrO2F2 structure (GGA-PBEsol, Alexandria via LeMat-Bulk).

* ΔE_f (raw): -2.1850 eV per atom

a = 4.017 Å, b = 4.132 Å, c = 4.132 Å
α = 90.00°, β = 90.00°, γ = 90.00°
Sites, in units of the cell vectors:
O (0.500, 0.000, 0.000)
O (0.500, 0.500, 0.500)
Zr (0.000, 0.000, 0.000)
F (0.000, 0.500, 0.000)
F (0.000, 0.000, 0.500)

---

(13)
# POsS2F

A geometry-optimized POsS2F structure (GGA-PBEsol, Alexandria via LeMat-Bulk).

* ΔE_f (raw): 1.2188 eV per atom

a = 3.712 Å, b = 4.412 Å, c = 4.412 Å
α = 90.00°, β = 90.00°, γ = 90.00°
Sites, in units of the cell vectors:
P (0.500, 0.000, 0.000)
F (0.000, 0.000, 0.000)
S (0.000, 0.000, 0.500)
S (0.000, 0.500, 0.000)
Os (0.500, 0.500, 0.500)

---

(14)
# Os2PbF

A geometry-optimized Os2PbF structure (GGA-PBEsol, Alexandria via LeMat-Bulk).

* ΔE_f (raw): 1.1611 eV per atom

a = 4.448 Å, b = 4.448 Å, c = 4.448 Å
α = 60.00°, β = 60.00°, γ = 60.00°
Sites, in units of the cell vectors:
F (0.000, 0.000, 0.000)
Os (0.750, 0.750, 0.750)
Os (0.250, 0.250, 0.250)
Pb (0.500, 0.500, 0.500)

---

(15)
# OsPb3F

A geometry-optimized OsPb3F structure (GGA-PBEsol, Alexandria via LeMat-Bulk).

* E above lowest polymorph: 400 meV per atom
* ΔE_f (raw): 0.4619 eV per atom

a = 4.803 Å, b = 4.803 Å, c = 4.803 Å
α = 90.00°, β = 90.00°, γ = 90.00°
Sites, in units of the cell vectors:
F (0.000, 0.000, 0.000)
Os (0.500, 0.500, 0.500)
Pb (0.000, 0.500, 0.000)
Pb (0.500, 0.000, 0.000)
Pb (0.000, 0.000, 0.500)

---

(16)
# OsPbF2

A geometry-optimized OsPbF2 structure (GGA-PBEsol, Alexandria via LeMat-Bulk).

* ΔE_f (raw): 0.1046 eV per atom

a = 4.397 Å, b = 4.397 Å, c = 4.397 Å
α = 60.00°, β = 60.00°, γ = 60.00°
Sites, in units of the cell vectors:
F (0.750, 0.750, 0.750)
F (0.250, 0.250, 0.250)
Pb (0.500, 0.500, 0.500)
Os (0.000, 0.000, 0.000)

---

(17)
# OsPb3F

A geometry-optimized OsPb3F structure (GGA-PBEsol, Alexandria via LeMat-Bulk).

* E above lowest polymorph: 0 meV per atom
* ΔE_f (raw): 0.0618 eV per atom

a = 5.203 Å, b = 5.203 Å, c = 5.203 Å
α = 90.00°, β = 90.00°, γ = 90.00°
Sites, in units of the cell vectors:
Pb (0.000, 0.500, 0.000)
Pb (0.000, 0.000, 0.500)
Os (0.000, 0.000, 0.000)
Pb (0.500, 0.000, 0.000)
F (0.500, 0.500, 0.500)

---

(18)
# Sb2OsPbF

A geometry-optimized Sb2OsPbF structure (GGA-PBEsol, Alexandria via LeMat-Bulk).

* ΔE_f (raw): 0.2337 eV per atom

a = 5.005 Å, b = 5.005 Å, c = 5.554 Å
α = 90.00°, β = 90.00°, γ = 90.00°
Sites, in units of the cell vectors:
F (0.500, 0.500, 0.500)
Sb (0.500, 0.000, 0.000)
Pb (0.000, 0.000, 0.500)
Sb (0.000, 0.500, 0.000)
Os (0.000, 0.000, 0.000)

---

(19)
# SnOsPb2F

A geometry-optimized SnOsPb2F structure (GGA-PBEsol, Alexandria via LeMat-Bulk).

* ΔE_f (raw): 0.4481 eV per atom

a = 4.063 Å, b = 5.183 Å, c = 5.183 Å
α = 90.00°, β = 90.00°, γ = 90.00°
Sites, in units of the cell vectors:
Sn (0.500, 0.500, 0.500)
Pb (0.000, 0.000, 0.500)
Os (0.500, 0.000, 0.000)
F (0.000, 0.000, 0.000)
Pb (0.000, 0.500, 0.000)

---

(20)
# ReOsF2

A geometry-optimized ReOsF2 structure (GGA-PBEsol, Alexandria via LeMat-Bulk).

* ΔE_f (raw): 1.1835 eV per atom

a = 4.138 Å, b = 4.138 Å, c = 4.138 Å
α = 60.00°, β = 60.00°, γ = 60.00°
Sites, in units of the cell vectors:
Os (0.500, 0.500, 0.500)
Re (0.000, 0.000, 0.000)
F (0.250, 0.250, 0.250)
F (0.750, 0.750, 0.750)

---

(21)
# ReTe2OsF

A geometry-optimized ReTe2OsF structure (GGA-PBEsol, Alexandria via LeMat-Bulk).

* ΔE_f (raw): 1.2971 eV per atom

a = 3.918 Å, b = 4.767 Å, c = 4.767 Å
α = 90.00°, β = 90.00°, γ = 90.00°
Sites, in units of the cell vectors:
F (0.000, 0.000, 0.000)
Te (0.000, 0.500, 0.000)
Re (0.500, 0.500, 0.500)
Te (0.000, 0.000, 0.500)
Os (0.500, 0.000, 0.000)

---

(22)
# Os3RuF

A geometry-optimized Os3RuF structure (GGA-PBEsol, Alexandria via LeMat-Bulk).

* ΔE_f (raw): 2.5812 eV per atom

a = 4.625 Å, b = 4.625 Å, c = 4.625 Å
α = 90.00°, β = 90.00°, γ = 90.00°
Sites, in units of the cell vectors:
F (0.500, 0.500, 0.500)
Os (0.000, 0.500, 0.000)
Os (0.000, 0.000, 0.500)
Ru (0.000, 0.000, 0.000)
Os (0.500, 0.000, 0.000)

---

(23)
# Os3SF

A geometry-optimized Os3SF structure (GGA-PBEsol, Alexandria via LeMat-Bulk).

* ΔE_f (raw): 1.4837 eV per atom

a = 4.307 Å, b = 4.307 Å, c = 4.307 Å
α = 90.00°, β = 90.00°, γ = 90.00°
Sites, in units of the cell vectors:
F (0.500, 0.500, 0.500)
Os (0.500, 0.000, 0.000)
S (0.000, 0.000, 0.000)
Os (0.000, 0.500, 0.000)
Os (0.000, 0.000, 0.500)

---

(24)
# Sb2OsF

A geometry-optimized Sb2OsF structure (GGA-PBEsol, Alexandria via LeMat-Bulk).

* ΔE_f (raw): 0.0113 eV per atom

a = 5.534 Å, b = 5.534 Å, c = 7.357 Å
α = 112.09°, β = 112.09°, γ = 90.00°
Sites, in units of the cell vectors:
Sb (0.874, 0.375, 0.250)
F (0.500, 0.500, 0.000)
F (0.750, 0.250, 0.500)
Os (0.000, 0.000, 0.000)
Os (0.250, 0.750, 0.500)
Sb (0.376, 0.875, 0.250)
Sb (0.625, 0.624, 0.750)
Sb (0.125, 0.126, 0.750)

---

(25)
# Sb2TeOsF

A geometry-optimized Sb2TeOsF structure (GGA-PBEsol, Alexandria via LeMat-Bulk).

* ΔE_f (raw): 0.4302 eV per atom

a = 5.056 Å, b = 5.056 Å, c = 5.255 Å
α = 90.00°, β = 90.00°, γ = 90.00°
Sites, in units of the cell vectors:
F (0.500, 0.500, 0.500)
Sb (0.500, 0.000, 0.000)
Te (0.000, 0.000, 0.500)
Os (0.000, 0.000, 0.000)
Sb (0.000, 0.500, 0.000)

---

Number 1: E_tot -7.374 eV per atom, total magnetization 0.16 μB/atom. Number 2: E_tot -8.031 eV per atom, total magnetization 0.00 μB/atom. Number 3: E_tot -8.172 eV per atom, total magnetization 0.32 μB/atom. Number 4: E_tot -8.299 eV per atom, total magnetization 0.00 μB/atom. Number 5: E_tot -8.597 eV per atom, total magnetization 0.00 μB/atom. Number 6: E_tot -8.557 eV per atom, total magnetization 0.00 μB/atom. Number 7: E_tot -8.275 eV per atom, total magnetization 0.00 μB/atom. Number 8: E_tot -8.609 eV per atom, total magnetization 0.00 μB/atom. Number 9: E_tot -8.284 eV per atom, total magnetization 0.00 μB/atom. Number 10: E_tot -3.270 eV per atom, total magnetization 0.50 μB/atom. Number 11: E_tot -7.743 eV per atom, total magnetization 0.00 μB/atom. Number 12: E_tot -6.874 eV per atom, total magnetization 0.40 μB/atom. Number 13: E_tot -4.522 eV per atom, total magnetization 0.00 μB/atom. Number 14: E_tot -6.428 eV per atom, total magnetization 0.59 μB/atom. Number 15: E_tot -4.766 eV per atom, total magnetization 0.00 μB/atom. Number 16: E_tot -4.913 eV per atom, total magnetization 0.72 μB/atom. Number 17: E_tot -5.166 eV per atom, total magnetization 0.00 μB/atom. Number 18: E_tot -5.218 eV per atom, total magnetization 0.00 μB/atom. Number 19: E_tot -4.832 eV per atom, total magnetization 0.00 μB/atom. Number 20: E_tot -6.167 eV per atom, total magnetization 0.03 μB/atom. Number 21: E_tot -5.608 eV per atom, total magnetization 0.12 μB/atom. Number 22: E_tot -7.168 eV per atom, total magnetization 0.71 μB/atom. Number 23: E_tot -7.108 eV per atom, total magnetization 0.49 μB/atom. Number 24: E_tot -5.803 eV per atom, total magnetization 0.00 μB/atom. Number 25: E_tot -4.927 eV per atom, total magnetization 0.00 μB/atom.